The following is a PBE calculation of crystalline SrTaW2 at its relaxed geometry, from Alexandria.

Output
D(E_F) ... 4.7 states/eV per cell
DFT total energy ... -34.30 eV for the cell shown
Excess energy over the best structure of this formula in the dataset ... 2.360 eV/f.u.

a b c (Å): 5.256 5.256 2.876
angles (deg): 90.00 90.00 90.00
Space group P4/mmm (No. 123)
Unique sites:
1 Sr 0.000 0.000 0.000 x1
2 Ta 0.500 0.500 0.000 x1
3 W 0.000 0.500 0.500 x2